Entry 1:
Pm3CdW after structural relaxation. Source: OQMD via LeMat-Bulk, functional PBE-GGA.

a b c (Å): 9.3390 9.3390 5.9206
angles (deg): 90.00 90.00 120.00
Space group P6_3/mmc (No. 194)
One atom of each set of equivalent atoms:
Pm: 0.1744 0.3487 0.2500
Cd: 0.0000 0.0000 0.0000
W: 0.3333 0.6667 0.2500



Entry 2:
TmZrCdC after structural relaxation. Source: OQMD via LeMat-Bulk, functional PBE-GGA.

a b c (Å): 3.4144 3.4144 15.8116
angles (deg): 90.00 90.00 120.00
Space group P-3m1 (No. 164)
One atom of each set of equivalent atoms:
Tm: 0.3333 0.6667 0.0853
Zr: 0.3333 0.6667 0.4221
Cd: 0.3333 0.6667 0.7380
C: 0.0000 0.0000 0.0000
C: 0.0000 0.0000 0.5000

Properties
The energy above the lowest structure with this stoichiometry is 7 meV/atom.



Entry 3:
Zr2SnC after structural relaxation. Source: OQMD via LeMat-Bulk, functional PBE-GGA.

a b c (Å): 3.3811 3.3811 14.7339
angles (deg): 90.00 90.00 120.00
Space group P6_3/mmc (No. 194)
One atom of each set of equivalent atoms:
Zr: 0.3333 0.6667 0.0851
Sn: 0.3333 0.6667 0.7500
C: 0.0000 0.0000 0.0000



| no. | DFT total energy (eV per atom) | size of the total moment (μB per atom) |
| --- | --- | --- |
| 1 | -4.1388 | 0.035 |
| 2 | -6.2053 | 0.026 |
| 3 | -8.3644 | 0.001 |